# Na2HoInSe4

A relaxed Na2HoInSe4 crystal (GGA-PBE, Alexandria via LeMat-Bulk).

```
Na2HoInSe4
1.0
7.087 0.000 0.000
0.000 4.072 0.000
-2.398 0.000 7.053
Na Ho In Se
2 1 1 4
Direct
0.000 0.000 0.000
0.500 0.500 0.000
0.000 0.500 0.500
0.500 0.000 0.500
0.243 0.000 0.730
0.267 0.500 0.278
0.733 0.500 0.722
0.757 0.000 0.270
```

Output
V in Å³/f.u.: 203.6
Raw formation energy in eV per atom: -1.233
Crystal system: monoclinic
Magnetic moment in Bohr magnetons per cell: 0.0
Space group: No. 10


# NaHoIn4Se8

A relaxed NaHoIn4Se8 crystal (GGA-PBE, Alexandria via LeMat-Bulk).

```
NaHoIn4Se8
1.0
4.117 2.377 6.816
-4.117 2.377 6.816
0.000 -4.753 6.816
Na Ho In Se
1 1 4 8
Direct
0.000 0.000 0.000
0.362 0.362 0.362
0.365 0.365 0.891
0.365 0.891 0.365
0.747 0.747 0.747
0.891 0.365 0.365
0.123 0.123 0.598
0.123 0.598 0.123
0.133 0.133 0.133
0.147 0.612 0.612
0.598 0.123 0.123
0.610 0.610 0.610
0.612 0.147 0.612
0.612 0.612 0.147
```

Output
V in Å³/f.u.: 400.1
Raw formation energy in eV per atom: -0.797
D(E_F) in states/eV per atom: 0.7731
Crystal system: trigonal
Magnetic moment in Bohr magnetons per cell: 0.0
Space group: No. 160


# Na3Ho2InSe6

A relaxed Na3Ho2InSe6 crystal (GGA-PBE, Alexandria via LeMat-Bulk).

```
Na3Ho2InSe6
1.0
3.548 -6.146 0.000
3.548 6.146 0.000
-2.361 0.000 7.043
Na Ho In Se
3 2 1 6
Direct
0.000 0.000 0.000
0.334 0.666 0.000
0.666 0.334 0.000
0.167 0.833 0.500
0.833 0.167 0.500
0.500 0.500 0.500
0.096 0.424 0.272
0.248 0.248 0.727
0.424 0.096 0.272
0.576 0.904 0.728
0.752 0.752 0.273
0.904 0.576 0.728
```

Output
V in Å³/f.u.: 307.1
Raw formation energy in eV per atom: -1.386
Crystal system: monoclinic
Magnetic moment in Bohr magnetons per cell: 0.0
Space group: No. 12


# NaHoInSn

A relaxed NaHoInSn crystal (GGA-PBE, Alexandria via LeMat-Bulk).

```
NaHoInSn
1.0
0.000 3.747 3.747
3.747 0.000 3.747
3.747 3.747 0.000
Na Ho In Sn
1 1 1 1
Direct
0.000 0.000 0.000
0.500 0.500 0.500
0.250 0.250 0.250
0.750 0.750 0.750
```

Output
V in Å³/f.u.: 105.2
D(E_F) in states/eV per atom: 0.6658
Crystal system: cubic
Magnetic moment in Bohr magnetons per cell: 0.0
Space group: No. 216
ΔE_f in meV per atom: -294


# NaHoInSn

A relaxed NaHoInSn crystal (GGA-PBE, Alexandria via LeMat-Bulk).

```
NaHoInSn
1.0
4.460 0.000 0.000
0.000 4.667 0.000
0.000 0.000 4.868
Na Ho In Sn
1 1 1 1
Direct
0.000 0.000 0.000
0.000 0.500 0.500
0.500 0.500 0.000
0.500 0.000 0.500
```

Output
V in Å³/f.u.: 101.3
D(E_F) in states/eV per atom: 0.4306
Crystal system: orthorhombic
Magnetic moment in Bohr magnetons per cell: 0.0
Space group: No. 47
ΔE_f in meV per atom: -365


# NaTbHoIn

A relaxed NaTbHoIn crystal (GGA-PBE, Alexandria via LeMat-Bulk).

```
NaTbHoIn
1.0
0.000 3.812 3.812
3.812 0.000 3.812
3.812 3.812 0.000
Na Tb Ho In
1 1 1 1
Direct
0.000 0.000 0.000
0.250 0.250 0.250
0.750 0.750 0.750
0.500 0.500 0.500
```

Output
V in Å³/f.u.: 110.8
D(E_F) in states/eV per atom: 0.9959
Crystal system: cubic
Magnetic moment in Bohr magnetons per cell: 0.0
Space group: No. 216
ΔE_f in meV per atom: -119